# 1
The following is a DFT calculation (PBE) of an optimized crystal structure of Sc2SnS2.

```
data_Sc2SnS2
_chemical_formula_sum 'Sc4 Sn2 S4'
_cell_length_a 7.629
_cell_length_b 7.629
_cell_length_c 3.356
_cell_angle_alpha 90.00
_cell_angle_beta 90.00
_cell_angle_gamma 90.00
_space_group_name_H-M_alt 'P 1'
_space_group_IT_number 1
_space_group_name_Hall 'P 1'
loop_
_atom_site_label
_atom_site_type_symbol
_atom_site_fract_x
_atom_site_fract_y
_atom_site_fract_z
_atom_site_occupancy
Sc1 Sc 0.347 0.847 0.000 1
Sc2 Sc 0.847 0.653 0.000 1
Sc3 Sc 0.653 0.153 0.000 1
Sc4 Sc 0.153 0.347 0.000 1
S1 S 0.139 0.639 0.500 1
S2 S 0.639 0.861 0.500 1
S3 S 0.861 0.361 0.500 1
S4 S 0.361 0.139 0.500 1
Sn1 Sn 0.000 0.000 0.000 1
Sn2 Sn 0.500 0.500 0.000 1
```

Summary:
final energy = -60.360 eV per cell
space-group type = P4/mbm (127)
energy relative to the lowest polymorph listed for this composition = 0 meV/atom

***

# 2
The following is a DFT calculation (PBE) of an optimized crystal structure of Sc3SnS.

```
data_Sc3SnS
_chemical_formula_sum 'Sc3 Sn1 S1'
_cell_length_a 4.809
_cell_length_b 4.809
_cell_length_c 4.809
_cell_angle_alpha 90.00
_cell_angle_beta 90.00
_cell_angle_gamma 90.00
_space_group_name_H-M_alt 'P 1'
_space_group_IT_number 1
_space_group_name_Hall 'P 1'
loop_
_atom_site_label
_atom_site_type_symbol
_atom_site_fract_x
_atom_site_fract_y
_atom_site_fract_z
_atom_site_occupancy
Sc1 Sc 0.000 0.500 0.000 1
Sc2 Sc 0.000 0.000 0.500 1
Sc3 Sc 0.500 0.000 0.000 1
S1 S 0.000 0.000 0.000 1
Sn1 Sn 0.500 0.500 0.500 1
```

Summary:
final energy = -31.729 eV per cell
space-group type = Pm-3m (221)
energy relative to the lowest polymorph listed for this composition = 0 meV/atom

***

# 3
The following is a DFT calculation (PBE) of an optimized crystal structure of ScSnS2.

```
data_ScSnS2
_chemical_formula_sum 'Sc2 Sn2 S4'
_cell_length_a 6.506
_cell_length_b 6.506
_cell_length_c 7.100
_cell_angle_alpha 62.73
_cell_angle_beta 62.73
_cell_angle_gamma 90.00
_space_group_name_H-M_alt 'P 1'
_space_group_IT_number 1
_space_group_name_Hall 'P 1'
loop_
_atom_site_label
_atom_site_type_symbol
_atom_site_fract_x
_atom_site_fract_y
_atom_site_fract_z
_atom_site_occupancy
Sc1 Sc 0.500 0.500 0.000 1
Sc2 Sc 0.250 0.750 0.500 1
S1 S 0.569 0.125 0.250 1
S2 S 0.181 0.625 0.250 1
S3 S 0.375 0.431 0.750 1
S4 S 0.875 0.819 0.750 1
Sn1 Sn 0.000 0.000 0.000 1
Sn2 Sn 0.750 0.250 0.500 1
```

Summary:
final energy = -44.137 eV per cell
space-group type = I-42d (122)

***

# 4
The following is a DFT calculation (PBE) of an optimized crystal structure of Sc6SnS4.

```
data_Sc6SnS4
_chemical_formula_sum 'Sc12 Sn2 S8'
_cell_length_a 3.697
_cell_length_b 6.437
_cell_length_c 18.860
_cell_angle_alpha 90.00
_cell_angle_beta 90.00
_cell_angle_gamma 106.69
_space_group_name_H-M_alt 'P 1'
_space_group_IT_number 1
_space_group_name_Hall 'P 1'
loop_
_atom_site_label
_atom_site_type_symbol
_atom_site_fract_x
_atom_site_fract_y
_atom_site_fract_z
_atom_site_occupancy
Sc1 Sc 0.500 0.000 0.000 1
Sc2 Sc 0.500 0.000 0.500 1
Sc3 Sc 0.042 0.083 0.341 1
Sc4 Sc 0.958 0.917 0.659 1
Sc5 Sc 0.958 0.917 0.841 1
Sc6 Sc 0.042 0.083 0.159 1
Sc7 Sc 0.773 0.547 0.416 1
Sc8 Sc 0.227 0.453 0.584 1
Sc9 Sc 0.227 0.453 0.916 1
Sc10 Sc 0.773 0.547 0.084 1
Sc11 Sc 0.356 0.712 0.250 1
Sc12 Sc 0.644 0.288 0.750 1
Sn1 Sn 0.670 0.341 0.250 1
Sn2 Sn 0.330 0.659 0.750 1
S1 S 0.861 0.723 0.540 1
S2 S 0.409 0.818 0.122 1
S3 S 0.139 0.277 0.460 1
S4 S 0.591 0.182 0.878 1
S5 S 0.861 0.723 0.960 1
S6 S 0.139 0.277 0.040 1
S7 S 0.591 0.182 0.622 1
S8 S 0.409 0.818 0.378 1
```

Summary:
final energy = -150.709 eV per cell
space-group type = Cmcm (63)

***

Number 1: uncorrected formation energy -1.05 eV per atom, theoretical density 4.64 Mg/m³, size of the total moment 0.00 μB/f.u.. Number 2: uncorrected formation energy -0.92 eV per atom, theoretical density 4.26 Mg/m³, size of the total moment 0.00 μB/f.u.. Number 3: uncorrected formation energy -0.87 eV per atom, theoretical density 3.30 Mg/m³, size of the total moment 0.00 μB/f.u.. Number 4: uncorrected formation energy -1.53 eV per atom, theoretical density 3.99 Mg/m³, size of the total moment 0.00 μB/f.u..